# PmBe3Co, relaxed, DFT PBE
# Magnetization   0.00 μB per cell
# DOS at the Fermi energy   1.9 states/eV/cell
# E_tot   -0.172 hartree per atom
# Formation energy   -0.07 eV/atom
data_PmBe3Co
_chemical_formula_sum 'Pm1 Be3 Co1'
_space_group_name_H-M_alt 'P m -3 m'
_space_group_IT_number 221
_space_group_name_Hall '-P 4 2 3'
_cell_length_a 4.133
_cell_length_b 4.133
_cell_length_c 4.133
_cell_angle_alpha 90.00
_cell_angle_beta 90.00
_cell_angle_gamma 90.00
loop_
_atom_site_label
_atom_site_fract_x
_atom_site_fract_y
_atom_site_fract_z
Pm1 0.000 0.000 0.000
Be1 0.000 0.500 0.500
Co1 0.500 0.500 0.500